Entry from the Alexandria database: Sr3Be2NiO6 after structural relaxation (GGA+U).

Results
V in Å³/atom: 13.9
Electronic total energy in eV per atom: -6.08
Theoretical density in g/cm3: 4.33

a b c (Å): 5.5126 5.5126 6.3473
angles (deg): 90.00 90.00 120.00
Sites, in units of the cell vectors:
Sr  0.0000  0.0000  0.0000
Sr  0.3333  0.6667  0.6695
Sr  0.6667  0.3333  0.3305
Be  0.3333  0.6667  0.2602
Be  0.6667  0.3333  0.7398
Ni  0.0000  0.0000  0.5000
O  0.1744  0.3487  0.2899
O  0.1744  0.8256  0.2899
O  0.3487  0.1744  0.7101
O  0.6513  0.8256  0.2899
O  0.8256  0.1744  0.7101
O  0.8256  0.6513  0.7101